[1]
The following is a PBE calculation of a relaxed HoTm2ScTl2 crystal, from Alexandria.

abc: 4.924 9.675 6.804
angles: 90.00 90.00 90.00
Space group Pmc2_1 (No. 26)
Asymmetric unit:
Ho  0.000  0.047  0.000 x2
Tm  0.000  0.310  0.390 x2
Tm  0.500  0.453  0.101 x2
Sc  0.500  0.196  0.713 x2
Tl  0.000  0.365  0.842 x2
Tl  0.500  0.122  0.270 x2

M_tot in μB/f.u.: 0.00
E_form in eV per atom: -0.25

***

[2]
The following is a PBE calculation of a relaxed In2TeAs crystal, from Alexandria.

abc: 5.219 5.219 7.654
angles: 90.00 90.00 90.00
Space group I-4m2 (No. 119)
Asymmetric unit:
In  0.000  0.000  0.000 x2
In  0.000  0.500  0.250 x2
Te  0.000  0.500  0.750 x2
As  0.000  0.000  0.500 x2

E above lowest polymorph in meV per atom: 345.2
M_tot in μB/f.u.: 0.00
Raw formation energy in eV/atom: 0.180

***

[3]
The following is a PBE calculation of a relaxed PmLu2Mg crystal, from Alexandria.

abc: 7.748 7.748 7.748
angles: 90.00 90.00 90.00
Space group Fm-3m (No. 225)
Asymmetric unit:
Pm  0.000  0.000  0.000 x4
Lu  0.250  0.250  0.250 x8
Mg  0.000  0.000  0.500 x4

E above lowest polymorph in meV per atom: 131.9
M_tot in μB/f.u.: 0.72
E_form in eV per atom: 0.11

***

[4]
The following is a PBE calculation of a relaxed LaZnHCl2 crystal, from Alexandria.

abc: 5.191 5.191 4.037
angles: 90.00 90.00 90.00
Space group P4/mmm (No. 123)
Asymmetric unit:
La  0.000  0.000  0.000 x1
Zn  0.500  0.500  0.000 x1
H  0.000  0.000  0.500 x1
Cl  0.000  0.500  0.500 x2

M_tot in μB/f.u.: 0.00
Calculated total energy in Ry/atom: -0.260

***

[5]
The following is a PBE calculation of a relaxed Sr2Ga2F crystal, from Alexandria.

abc: 8.751 8.751 3.885
angles: 90.00 90.00 90.00
Space group P4/mbm (No. 127)
Asymmetric unit:
Sr  0.199  0.301  0.000 x4
Ga  0.096  0.596  0.500 x4
F  0.000  0.000  0.500 x2

E above lowest polymorph in meV per atom: 333.9
M_tot in μB/f.u.: 0.00
Raw formation energy in eV/atom: -0.782

***

[6]
The following is a PBE calculation of a relaxed Ba2Ga6CuPd crystal, from Alexandria.

abc: 9.875 9.876 6.988
angles: 90.00 134.80 90.00
Space group C2/m (No. 12)
Asymmetric unit:
Ba  0.000  0.250  0.000 x4
Ga  0.000  0.244  0.500 x4
Ga  0.244  0.000  0.500 x4
Ga  0.244  0.000  0.988 x4
Cu  0.000  0.000  0.500 x2
Pd  0.000  0.500  0.500 x2

M_tot in μB/f.u.: 0.00
E_form in eV per atom: -0.25